Here is a geometry-optimized LiTcSn3 structure from Alexandria via LeMat-Bulk. Energies are from PBE-GGA.

```
data_LiTcSn3
_space_group_name_H-M_alt 'P m -3 m'
_space_group_IT_number 221
_space_group_name_Hall '-P 4 2 3'
_cell_length_a 4.8855
_cell_length_b 4.8855
_cell_length_c 4.8855
_cell_angle_alpha 90.00
_cell_angle_beta 90.00
_cell_angle_gamma 90.00
loop_
_atom_site_label
_atom_site_type_symbol
_atom_site_fract_x
_atom_site_fract_y
_atom_site_fract_z
_atom_site_occupancy
Li1 Li 0.0000 0.0000 0.0000 1
Tc1 Tc 0.5000 0.5000 0.5000 1
Sn1 Sn 0.0000 0.0000 0.5000 1
```

Computed properties:
Formation energy from the elements ... 842 meV/atom
Energy relative to the lowest polymorph listed for this composition ... 728 meV/atom
VASP energy ... -20.1 eV for the cell shown